# 1
ScCdIr | PBE | optimized geometry

POSCAR file:
```
ScCdIr
1.0
-2.0009 2.2542 0.6729
-2.6574 -1.4047 -3.1960
-4.4051 -5.7591 6.1940
Sc Ir Cd
2 2 2
Direct
0.0000 0.5006 0.7500 Sc
0.0000 0.4994 0.2500 Sc
0.5000 0.9994 0.2500 Ir
0.5000 0.0006 0.7500 Ir
0.0000 0.0000 0.5000 Cd
0.0000 0.0000 0.0000 Cd
```

Crystal system: orthorhombic
Space group: No. 51
Raw total energy: -5.7016 eV per atom
Calculated formation energy: -332 meV/atom

# 2
CdHPd3 | PBE | optimized geometry

POSCAR file:
```
CdHPd3
1.0
-2.1662 7.3160 -7.4604
-6.5880 0.6806 -3.4475
-4.6566 -1.8969 5.5198
Pd Cd H
12 4 4
Direct
0.4263 0.3850 0.4872 Pd
0.9181 0.7706 0.8525 Pd
0.4181 0.6475 0.7294 Pd
0.5819 0.3525 0.2706 Pd
0.5737 0.6150 0.5128 Pd
0.0819 0.2294 0.1475 Pd
0.0815 0.7308 0.6398 Pd
0.0737 0.9872 0.8850 Pd
0.5815 0.8602 0.7692 Pd
0.9185 0.2692 0.3602 Pd
0.9263 0.0128 0.1150 Pd
0.4185 0.1398 0.2308 Pd
0.9211 0.5138 0.6259 Cd
0.4211 0.8741 0.9862 Cd
0.0789 0.4862 0.3741 Cd
0.5789 0.1259 0.0138 Cd
0.2500 0.5375 0.0375 H
0.2500 0.8197 0.3197 H
0.7500 0.1803 0.6803 H
0.7500 0.4625 0.9625 H
```

Excess energy over the best structure of this formula in the dataset: 90 meV/atom
Crystal system: monoclinic
Space group: No. 15
Raw total energy: -4.1660 eV per atom